Run A
{
  "formula": "RbCSe2N",
  "functional": "PBE",
  "state": "relaxed",
  "spacegroup": "P4/mmm (123)",
  "crystal_system": "tetragonal",
  "cell": [[-0.441, 4.295, -0.040], [-3.902, -0.384, 1.807], [2.468, 0.304, 5.394]],
  "species": ["N", "Se", "Se", "Rb", "C"],
  "frac_coords": [[0.000, 0.000, 0.500], [0.500, 0.000, 0.000], [0.000, 0.500, 0.000], [0.500, 0.500, 0.500], [0.000, 0.000, 0.000]]
}

Run B
{
  "formula": "RbCSe2N",
  "functional": "PBE",
  "state": "relaxed",
  "spacegroup": "P4/mmm (123)",
  "crystal_system": "tetragonal",
  "cell": [[6.592, 0.000, 0.000], [0.000, 5.647, 0.000], [0.000, 0.000, 6.592]],
  "species": ["Se", "Se", "N", "Rb", "C"],
  "frac_coords": [[0.000, 0.000, 0.500], [0.500, 0.000, 0.000], [0.000, 0.500, 0.000], [0.000, 0.000, 0.000], [0.500, 0.500, 0.500]]
}

Last place for stability: run B

Run A
{
  "formula": "Re2CN2",
  "functional": "PBE",
  "state": "relaxed",
  "spacegroup": "I4/mmm (139)",
  "crystal_system": "tetragonal",
  "cell": [[3.912, 0.000, 0.000], [0.000, 3.912, 0.000], [1.956, 1.956, 3.113]],
  "species": ["C", "Re", "Re", "N", "N"],
  "frac_coords": [[0.000, 0.000, 0.000], [0.750, 0.250, 0.500], [0.250, 0.750, 0.500], [0.392, 0.392, 0.216], [0.608, 0.608, 0.784]]
}

Run B
{
  "formula": "Re2CN2",
  "functional": "PBE",
  "state": "relaxed",
  "spacegroup": "P4/mbm (127)",
  "crystal_system": "tetragonal",
  "cell": [[-4.081, -3.476, 2.768], [0.967, -4.364, -4.053], [1.889, -1.001, 1.528]],
  "species": ["N", "N", "N", "N", "Re", "Re", "Re", "Re", "C", "C"],
  "frac_coords": [[0.129, 0.371, 0.000], [0.871, 0.629, 0.000], [0.629, 0.129, 0.000], [0.371, 0.871, 0.000], [0.680, 0.820, 0.500], [0.820, 0.320, 0.500], [0.320, 0.180, 0.500], [0.180, 0.680, 0.500], [0.500, 0.500, 0.000], [0.000, 0.000, 0.000]]
}

Last place for stability: run B

Run A
{
  "formula": "ReC3N",
  "functional": "PBE",
  "state": "relaxed",
  "spacegroup": "Pm-3m (221)",
  "crystal_system": "cubic",
  "cell": [[3.423, 0.000, 0.000], [0.000, 3.423, 0.000], [0.000, 0.000, 3.423]],
  "species": ["C", "C", "C", "Re", "N"],
  "frac_coords": [[0.000, 0.500, 0.000], [0.500, 0.000, 0.000], [0.000, 0.000, 0.500], [0.500, 0.500, 0.500], [0.000, 0.000, 0.000]]
}

Run B
{
  "formula": "ReC3N",
  "functional": "PBE",
  "state": "relaxed",
  "spacegroup": "Pm-3m (221)",
  "crystal_system": "cubic",
  "cell": [[-0.114, 1.464, -3.765], [-3.688, -1.575, -0.501], [-1.649, 3.422, 1.380]],
  "species": ["C", "C", "C", "Re", "N"],
  "frac_coords": [[0.000, 0.000, 0.500], [0.500, 0.000, 0.000], [0.000, 0.500, 0.000], [0.000, 0.000, 0.000], [0.500, 0.500, 0.500]]
}

Last place for stability: run A

Run A
{
  "formula": "ReCSe2N",
  "functional": "PBE",
  "state": "relaxed",
  "spacegroup": "P4/mmm (123)",
  "crystal_system": "tetragonal",
  "cell": [[4.967, 0.000, 0.000], [0.000, 4.967, 0.000], [0.000, 0.000, 3.725]],
  "species": ["N", "C", "Re", "Se", "Se"],
  "frac_coords": [[0.000, 0.000, 0.500], [0.500, 0.500, 0.500], [0.000, 0.000, 0.000], [0.500, 0.000, 0.000], [0.000, 0.500, 0.000]]
}

Run B
{
  "formula": "ReCSe2N",
  "functional": "PBE",
  "state": "relaxed",
  "spacegroup": "P4/mmm (123)",
  "crystal_system": "tetragonal",
  "cell": [[5.736, 0.000, 0.000], [0.000, 5.736, 0.000], [0.000, 0.000, 2.487]],
  "species": ["C", "Se", "Se", "N", "Re"],
  "frac_coords": [[0.000, 0.000, 0.000], [0.000, 0.500, 0.000], [0.500, 0.000, 0.000], [0.000, 0.000, 0.500], [0.500, 0.500, 0.500]]
}

Last place for stability: run A

Run A
{
  "formula": "ReCSeN2",
  "functional": "PBE",
  "state": "relaxed",
  "spacegroup": "P4/mmm (123)",
  "crystal_system": "tetragonal",
  "cell": [[-1.319, 3.121, -1.400], [-3.372, -0.934, 1.094], [0.614, 1.796, 3.426]],
  "species": ["Se", "Re", "N", "N", "C"],
  "frac_coords": [[0.000, 0.000, 0.500], [0.500, 0.500, 0.500], [0.000, 0.500, 0.000], [0.500, 0.000, 0.000], [0.000, 0.000, 0.000]]
}

Run B
{
  "formula": "ReCSeN2",
  "functional": "PBE",
  "state": "relaxed",
  "spacegroup": "P4/mmm (123)",
  "crystal_system": "tetragonal",
  "cell": [[3.762, 0.000, 0.000], [0.000, 3.762, 0.000], [0.000, 0.000, 5.430]],
  "species": ["Se", "C", "N", "N", "Re"],
  "frac_coords": [[0.000, 0.000, 0.500], [0.500, 0.500, 0.500], [0.000, 0.500, 0.000], [0.500, 0.000, 0.000], [0.000, 0.000, 0.000]]
}

Last place for stability: run A

Run A
{
  "formula": "ReSnC2N",
  "functional": "PBE",
  "state": "relaxed",
  "spacegroup": "P4/mmm (123)",
  "crystal_system": "tetragonal",
  "cell": [[4.130, 0.000, 0.000], [0.000, 4.026, 0.000], [0.000, 0.000, 4.130]],
  "species": ["N", "Sn", "Re", "C", "C"],
  "frac_coords": [[0.000, 0.500, 0.000], [0.000, 0.000, 0.000], [0.500, 0.500, 0.500], [0.500, 0.000, 0.000], [0.000, 0.000, 0.500]]
}

Run B
{
  "formula": "ReSnC2N",
  "functional": "PBE",
  "state": "relaxed",
  "spacegroup": "P4/mmm (123)",
  "crystal_system": "tetragonal",
  "cell": [[4.156, 0.000, 0.000], [0.000, 3.776, 0.000], [0.000, 0.000, 4.156]],
  "species": ["N", "C", "C", "Re", "Sn"],
  "frac_coords": [[0.000, 0.000, 0.000], [0.500, 0.000, 0.000], [0.000, 0.000, 0.500], [0.000, 0.500, 0.000], [0.500, 0.500, 0.500]]
}

Last place for stability: run A

Run A
{
  "formula": "ReTe2CN",
  "functional": "PBE",
  "state": "relaxed",
  "spacegroup": "P4/mmm (123)",
  "crystal_system": "tetragonal",
  "cell": [[-2.822, 1.013, -4.383], [-4.099, -2.710, 2.013], [-1.295, 3.112, 1.553]],
  "species": ["Te", "Te", "Re", "N", "C"],
  "frac_coords": [[0.000, 0.500, 0.000], [0.500, 0.000, 0.000], [0.000, 0.000, 0.000], [0.000, 0.000, 0.500], [0.500, 0.500, 0.500]]
}

Run B
{
  "formula": "ReTe2CN",
  "functional": "PBE",
  "state": "relaxed",
  "spacegroup": "P4/mmm (123)",
  "crystal_system": "tetragonal",
  "cell": [[-4.006, 1.552, -4.262], [1.675, -4.778, -3.315], [-1.814, -1.452, 1.176]],
  "species": ["Re", "Te", "Te", "N", "C"],
  "frac_coords": [[0.500, 0.500, 0.500], [0.000, 0.500, 0.000], [0.500, 0.000, 0.000], [0.000, 0.000, 0.500], [0.000, 0.000, 0.000]]
}

Last place for stability: run A

Run A
{
  "formula": "Rh2C3N6",
  "functional": "PBE",
  "state": "relaxed",
  "spacegroup": "R-3c (167)",
  "crystal_system": "trigonal",
  "cell": [[9.502, -2.802, 0.000], [9.502, 2.802, 0.000], [8.676, 0.000, 4.783]],
  "species": ["Rh", "Rh", "Rh", "Rh", "N", "N", "N", "N", "N", "N", "N", "N", "N", "N", "N", "N", "C", "C", "C", "C", "C", "C"],
  "frac_coords": [[0.835, 0.835, 0.835], [0.665, 0.665, 0.665], [0.165, 0.165, 0.165], [0.335, 0.335, 0.335], [0.838, 0.084, 0.458], [0.338, 0.958, 0.584], [0.042, 0.416, 0.662], [0.458, 0.838, 0.084], [0.916, 0.542, 0.162], [0.542, 0.162, 0.916], [0.584, 0.338, 0.958], [0.416, 0.662, 0.042], [0.162, 0.916, 0.542], [0.958, 0.584, 0.338], [0.662, 0.042, 0.416], [0.084, 0.458, 0.838], [0.070, 0.430, 0.750], [0.930, 0.570, 0.250], [0.570, 0.250, 0.930], [0.750, 0.070, 0.430], [0.430, 0.750, 0.070], [0.250, 0.930, 0.570]]
}

Run B
{
  "formula": "Rh2C3N6",
  "functional": "PBE",
  "state": "relaxed",
  "spacegroup": "C2/m (12)",
  "crystal_system": "monoclinic",
  "cell": [[-6.514, 3.817, 4.936], [-0.721, -2.415, 1.941], [1.741, 2.712, 4.021]],
  "species": ["N", "N", "N", "N", "N", "N", "Rh", "Rh", "C", "C", "C"],
  "frac_coords": [[0.397, 0.302, 0.230], [0.097, 0.951, 0.248], [0.318, 0.341, 0.750], [0.682, 0.659, 0.250], [0.903, 0.049, 0.752], [0.603, 0.698, 0.770], [0.338, 0.831, 0.008], [0.662, 0.169, 0.992], [0.651, 0.675, 0.502], [0.000, 0.000, 0.500], [0.349, 0.325, 0.498]]
}

Last place for stability: run B